Entry 1:
Below is a geometry-optimized HgPdOF2 structure, with properties calculated at the PBEsol level.

Structure (extended XYZ):
```
5
Lattice="4.1639 0.0000 0.0000 0.0000 4.1639 0.0000 0.0000 0.0000 3.9304" Properties=species:S:1:pos:R:3 pbc="T T T"
Hg 0.0000 0.0000 0.0000
Pd 2.0819 2.0819 1.9652
O 2.0819 2.0819 0.0000
F 0.0000 2.0819 1.9652
F 2.0819 0.0000 1.9652
```

Results
The value obtained for the uncorrected formation energy is -0.63 eV per atom. Its volume is 13.63 A^3/atom. The density of states at the Fermi level is 0.747 states/eV/atom.

Entry 2:
Below is a geometry-optimized ZrSc2MnCo structure, with properties calculated at the PBEsol level.

Structure (extended XYZ):
```
5
Lattice="4.5879 0.0000 0.0000 0.0000 4.5879 0.0000 0.0000 0.0000 4.3090" Properties=species:S:1:pos:R:3 pbc="T T T"
Zr 0.0000 0.0000 0.0000
Sc 0.0000 2.2940 2.1545
Sc 2.2940 0.0000 2.1545
Mn 2.2940 2.2940 2.1545
Co 2.2940 2.2940 0.0000
```

Results
Its calculated formation energy is 2.32 eV/f.u. Its volume is 18.14 A^3/atom. The density of states at the Fermi level is 1.163 states/eV/atom.

Entry 3:
Below is a geometry-optimized BeAgRu structure, with properties calculated at the PBEsol level.

Structure (extended XYZ):
```
3
Lattice="2.6895 0.0000 0.0000 -1.3447 2.3292 0.0000 0.0000 0.0000 6.1759" Properties=species:S:1:pos:R:3 pbc="T T T"
Be 0.0000 0.0000 0.0000
Ag 1.3447 0.7764 2.0180
Ru 0.0000 1.5528 4.4221
```

Results
Its calculated formation energy is 0.64 eV/f.u. Its volume is 12.90 A^3/atom. The density of states at the Fermi level is 0.737 states/eV/atom.

Entry 4:
Below is a geometry-optimized KNbZn2Sn structure, with properties calculated at the PBEsol level.

Structure (extended XYZ):
```
5
Lattice="5.0559 0.0000 0.0000 0.0000 5.0559 0.0000 0.0000 0.0000 6.0495" Properties=species:S:1:pos:R:3 pbc="T T T"
K 0.0000 0.0000 0.0000
Nb 2.5279 2.5279 0.0000
Zn 0.0000 2.5279 3.0247
Zn 2.5279 0.0000 3.0247
Sn 0.0000 0.0000 3.0247
```

Results
Its calculated formation energy is 7.05 eV/f.u. Its volume is 30.93 A^3/atom. The density of states at the Fermi level is 1.235 states/eV/atom.

Which formula does entry 2 have? ZrSc2MnCo